(1)
Material: Sm2Si3Au5
Method: DFT, PBE
State: optimized geometry

Unit cell a=10.265 b=12.577 c=6.168 alpha=90.00 beta=90.00 gamma=90.00
Space group Ibam (No. 72)
Asymmetric unit:
Sm (0.245, 0.130, 0.000) x8
Si (0.000, 0.000, 0.250) x4
Si (0.135, 0.378, 0.000) x8
Au (0.000, 0.265, 0.250) x8
Au (0.000, 0.500, 0.250) x4
Au (0.132, 0.111, 0.500) x8

Summary:
For the uncorrected formation energy, the calculation gives -0.57 eV/atom.

(2)
Material: AcLa5Sm2Sc
Method: DFT, PBE
State: optimized geometry

Unit cell a=9.303 b=9.303 c=7.557 alpha=90.00 beta=90.00 gamma=90.00
Space group P4/mbm (No. 127)
Asymmetric unit:
Ac (0.000, 0.000, 0.000) x2
La (0.000, 0.000, 0.500) x2
La (0.205, 0.295, 0.223) x8
Sm (0.114, 0.614, 0.500) x4
Sc (0.000, 0.500, 0.000) x2

Summary:
As for the formation enthalpy at 0 K: 2.31 eV per formula unit.

(3)
Material: NpAg2Cl6
Method: DFT, PBE
State: optimized geometry

Unit cell a=6.764 b=6.425 c=13.438 alpha=90.00 beta=120.13 gamma=90.00
Space group P2_1/c (No. 14)
Asymmetric unit:
Np (0.000, 0.000, 0.000) x2
Ag (0.324, 0.003, 0.824) x4
Cl (0.003, 0.737, 0.660) x4
Cl (0.319, 0.237, 0.160) x4
Cl (0.319, 0.733, 0.499) x4

Summary:
For the uncorrected formation energy, the calculation gives -1.11 eV/atom. For the energy above the most stable polymorph in this dataset, the calculation gives 0 meV per atom.

(4)
Material: Ce7Tl2Pb2
Method: DFT, PBE
State: optimized geometry

Unit cell a=10.913 b=10.956 c=5.663 alpha=90.00 beta=110.95 gamma=90.00
Space group C2/m (No. 12)
Asymmetric unit:
Ce (0.000, 0.000, 0.000) x2
Ce (0.078, 0.500, 0.860) x4
Ce (0.173, 0.253, 0.136) x8
Tl (0.246, 0.000, 0.523) x4
Pb (0.000, 0.224, 0.500) x4

Summary:
As for the formation enthalpy at 0 K: -1.24 eV per formula unit.

(5)
Material: La9TbHo4
Method: DFT, PBE
State: optimized geometry

Unit cell a=10.0439 b=10.0439 c=11.5092 alpha=90.00 beta=90.00 gamma=120.00
Space group P6_3/mmc (No. 194)
Asymmetric unit:
La (0.0785, 0.5392, 0.2500) x6
La (0.2071, 0.4141, 0.5294) x12
Tb (0.3333, 0.6667, 0.7500) x2
Ho (0.0000, 0.0000, 0.0000) x2
Ho (0.1094, 0.2188, 0.2500) x6

Summary:
As for the formation enthalpy at 0 K: 2.00 eV per formula unit.

(6)
Material: Zn4ReSe
Method: DFT, PBE
State: optimized geometry

Unit cell a=7.111 b=7.111 c=7.111 alpha=90.00 beta=90.00 gamma=90.00
Space group F-43m (No. 216)
Asymmetric unit:
Zn (0.123, 0.123, 0.377) x16
Re (0.250, 0.250, 0.750) x4
Se (0.000, 0.000, 0.000) x4

Summary:
For the uncorrected formation energy, the calculation gives 0.40 eV/atom.

(7)
Material: LiBe2Re
Method: DFT, PBE
State: optimized geometry

Unit cell a=2.517 b=4.065 c=4.629 alpha=90.00 beta=90.00 gamma=90.00
Space group Pmm2 (No. 25)
Asymmetric unit:
Li (0.000, 0.000, 0.000) x1
Be (0.000, 0.000, 0.477) x1
Be (0.500, 0.500, 0.849) x1
Re (0.500, 0.500, 0.350) x1

Summary:
As for the formation enthalpy at 0 K: 1.11 eV per formula unit. For the energy above the most stable polymorph in this dataset, the calculation gives 297 meV per atom.

(8)
Material: Hf3InS
Method: DFT, PBE
State: optimized geometry

Unit cell a=4.776 b=4.776 c=4.776 alpha=90.00 beta=90.00 gamma=90.00
Space group Pm-3m (No. 221)
Asymmetric unit:
Hf (0.000, 0.000, 0.500) x3
In (0.500, 0.500, 0.500) x1
S (0.000, 0.000, 0.000) x1

Summary:
For the uncorrected formation energy, the calculation gives -0.33 eV/atom. For the energy above the most stable polymorph in this dataset, the calculation gives 86 meV per atom.

(9)
Material: Pm3Er4Tm2
Method: DFT, PBE
State: optimized geometry

Unit cell a=15.061 b=5.015 c=7.944 alpha=90.00 beta=108.42 gamma=90.00
Space group C2/m (No. 12)
Asymmetric unit:
Pm (0.000, 0.000, 0.000) x2
Pm (0.111, 0.000, 0.665) x4
Er (0.057, 0.500, 0.333) x4
Er (0.221, 0.000, 0.332) x4
Tm (0.168, 0.500, 0.001) x4

Summary:
As for the formation enthalpy at 0 K: 0.20 eV per formula unit. For the energy above the most stable polymorph in this dataset, the calculation gives 2 meV per atom.

(10)
Material: In2AgI4
Method: DFT, PBE
State: optimized geometry

Unit cell a=5.891 b=5.891 c=15.985 alpha=90.00 beta=90.00 gamma=90.00
Space group I4/mmm (No. 139)
Asymmetric unit:
In (0.000, 0.000, 0.126) x4
Ag (0.000, 0.000, 0.500) x2
I (0.000, 0.000, 0.318) x4
I (0.000, 0.500, 0.000) x4

Summary:
For the uncorrected formation energy, the calculation gives -0.26 eV/atom. For the energy above the most stable polymorph in this dataset, the calculation gives 64 meV per atom.

(11)
Material: LiErLuHg
Method: DFT, PBE
State: optimized geometry

Unit cell a=7.276 b=7.276 c=7.276 alpha=90.00 beta=90.00 gamma=90.00
Space group F-43m (No. 216)
Asymmetric unit:
Li (0.000, 0.000, 0.000) x4
Er (0.250, 0.250, 0.750) x4
Lu (0.250, 0.250, 0.250) x4
Hg (0.000, 0.000, 0.500) x4

Summary:
As for the formation enthalpy at 0 K: -0.86 eV per formula unit.

(12)
Material: Tl2BAuO
Method: DFT, PBE
State: optimized geometry

Unit cell a=6.159 b=6.159 c=2.815 alpha=90.00 beta=90.00 gamma=90.00
Space group P4/mmm (No. 123)
Asymmetric unit:
Tl (0.000, 0.500, 0.000) x2
B (0.000, 0.000, 0.500) x1
Au (0.500, 0.500, 0.500) x1
O (0.000, 0.000, 0.000) x1

Summary:
For the uncorrected formation energy, the calculation gives 0.09 eV/atom.